# 1
BaSrV4Cu4O16 at its PBEsol-relaxed geometry, computed with meta-GGA SCAN.

a b c (Å): 12.682 12.682 7.984
angles (deg): 90.00 90.00 90.00
Space group I-42d (No. 122)
One atom of each set of equivalent atoms:
Ba: 0.000 0.000 0.000 (multiplicity 4)
Sr: 0.000 0.000 0.500 (multiplicity 4)
V: 0.053 0.750 0.125 (multiplicity 8)
V: 0.096 0.250 0.625 (multiplicity 8)
Cu: 0.160 0.674 0.492 (multiplicity 16)
O: 0.019 0.156 0.710 (multiplicity 16)
O: 0.023 0.160 0.234 (multiplicity 16)
O: 0.131 0.679 0.261 (multiplicity 16)
O: 0.175 0.180 0.479 (multiplicity 16)

Properties
The value obtained for the uncorrected energy is -13.460 eV per atom.

=====

# 2
Tc3NO at its PBEsol-relaxed geometry, computed with meta-GGA SCAN.

a b c (Å): 3.928 3.928 3.928
angles (deg): 90.00 90.00 90.00
Space group Pm-3m (No. 221)
One atom of each set of equivalent atoms:
Tc: 0.000 0.000 0.500 (multiplicity 3)
N: 0.500 0.500 0.500 (multiplicity 1)
O: 0.000 0.000 0.000 (multiplicity 1)

Properties
The value obtained for the uncorrected energy is -22.951 eV per atom.